# PBEsol V3Cr, optimized geometry
# - DOS at the Fermi energy: 24.4 states/eV per cell
# - Crystal system: cubic
# - Final energy: -9.82 eV/atom
# - DFT formation energy: -0.03 eV per atom
# - Calculated volume: 12.37 Å³/atom
data_V3Cr
_chemical_formula_sum 'V12 Cr4'
_symmetry_space_group_name_H-M 'F m -3 m'
_symmetry_Int_Tables_number 225
_symmetry_space_group_name_Hall '-F 4 2 3'
_cell_length_a 5.828
_cell_length_b 5.828
_cell_length_c 5.828
_cell_angle_alpha 90.00
_cell_angle_beta 90.00
_cell_angle_gamma 90.00
loop_
_atom_site_label
_atom_site_fract_x
_atom_site_fract_y
_atom_site_fract_z
V1 0.000 0.000 0.000
V2 0.250 0.250 0.250
Cr1 0.000 0.000 0.500